First-principles (PBE-GGA) data for TaCl4 after structural relaxation, as listed in the Alexandria database.

Cell: 9.6873 9.6873 3.0558 Å, 90.00 90.00 90.00°
With the nearest neighbours (Å) after each atom.
Space group I4/m (No. 87)
Asymmetric unit:
Ta: 0.0000 0.0000 0.0000 [2 per cell]  8 Cl 2.57
Cl: 0.0427 0.2085 0.5000 [8 per cell]  2 Ta 2.57

Summary:
The value obtained for the raw formation energy is -1.0321 eV/atom. Its calculated volume is 28.68 Å³/atom.

First-principles (PBE-GGA) data for TaCl4 after structural relaxation, as listed in the Alexandria database.

Cell: 6.0442 6.0442 6.0442 Å, 90.00 90.00 90.00°
With the nearest neighbours (Å) after each atom.
Space group Im-3m (No. 229)
Asymmetric unit:
Ta: 0.0000 0.0000 0.0000 [2 per cell]  8 Cl 2.62
Cl: 0.2500 0.2500 0.2500 [8 per cell]  2 Ta 2.62

Summary:
The value obtained for the raw formation energy is -0.4542 eV/atom. Its calculated volume is 22.08 Å³/atom.

First-principles (PBE-GGA) data for Ta2Cl after structural relaxation, as listed in the Alexandria database.

Cell: 7.8827 7.8827 2.9035 Å, 90.00 90.00 120.00°
With the nearest neighbours (Å) after each atom.
Space group P-62m (No. 189)
Asymmetric unit:
Ta: 0.0000 0.2690 0.0000 [3 per cell]  2 Cl 2.57
Ta: 0.0000 0.6103 0.5000 [3 per cell]  5 Cl 2.84-3.07, 8 Ta 2.90-3.09
Cl: 0.0000 0.0000 0.5000 [1 per cell]  6 Ta 2.57
Cl: 0.3333 0.6667 0.0000 [2 per cell]  9 Ta 2.84-2.91, 2 Cl 2.90

Summary:
As for the offset from the most stable computed form: 613 meV/atom. The value obtained for the raw formation energy is 0.5308 eV/atom. Its calculated volume is 17.36 Å³/atom.

First-principles (PBE-GGA) data for TaCl4 after structural relaxation, as listed in the Alexandria database.

Cell: 7.8167 15.4749 5.9822 Å, 90.00 120.47 90.00°
With the nearest neighbours (Å) after each atom.
Space group C2/c (No. 15)
Asymmetric unit:
Ta: 0.0000 0.0591 0.2500 [4 per cell]  6 Cl 2.31-2.52
Cl: 0.2110 0.0605 0.7303 [8 per cell]  2 Ta 2.48-2.52
Cl: 0.2130 0.1590 0.2355 [8 per cell]  1 Ta 2.31

Summary:
The value obtained for the raw formation energy is -1.2225 eV/atom. Its calculated volume is 31.19 Å³/atom.

First-principles (PBE-GGA) data for Ta2Cl after structural relaxation, as listed in the Alexandria database.

Cell: 7.9625 7.9625 7.9625 Å, 90.00 90.00 90.00°
With the nearest neighbours (Å) after each atom.
Space group Fd-3m (No. 227, origin choice 2)
Asymmetric unit:
Ta: 0.0000 0.0000 0.0000 [16 per cell]  6 Ta 2.82
Cl: 0.1250 0.1250 0.6250 [8 per cell]  12 Ta 3.30, 4 Cl 3.45

Summary:
As for the offset from the most stable computed form: 1237 meV/atom. The value obtained for the raw formation energy is 1.1549 eV/atom. Its calculated volume is 21.03 Å³/atom.

First-principles (PBE-GGA) data for Ta4Cl after structural relaxation, as listed in the Alexandria database.

Cell: 3.8036 3.8036 14.8913 Å, 90.00 90.00 90.00°
With the nearest neighbours (Å) after each atom.
Space group I4/mmm (No. 139)
Asymmetric unit:
Ta: 0.0000 0.0000 0.1103 [4 per cell]  4 Ta 2.82, 4 Cl 3.15
Ta: 0.0000 0.5000 0.2500 [4 per cell]  8 Ta 2.69-2.82
Cl: 0.0000 0.0000 0.5000 [2 per cell]  8 Ta 3.15

Summary:
As for the offset from the most stable computed form: 597 meV/atom. The value obtained for the raw formation energy is 0.8993 eV/atom. Its calculated volume is 21.54 Å³/atom.

| no. | DOS(E_F) (states/eV/atom) |
| --- | --- |
| 1 | 0.1462 |
| 2 | 0.4212 |
| 3 | 0.8927 |
| 4 | 0.1376 |
| 5 | 0.9479 |
| 6 | 1.2467 |